Record 1
Here is a crystal of Ta2TcIr relaxed with PBEsol from Alexandria. Energies are from meta-GGA SCAN.

Summary:
Formation energy from the elements, eV per formula unit: -1.24
Final energy, eV per atom: -60.142

```
4
Lattice="3.2014 0.0000 0.0000 0.0000 3.2014 0.0000 0.0000 0.0000 6.2238" Properties=species:S:1:pos:R:3 pbc="T T T"
Ta 0.0000 0.0000 0.0000
Ta 1.6007 1.6007 1.7501
Tc 0.0000 0.0000 3.1119
Ir 1.6007 1.6007 4.8476
```

***

Record 2
Here is a crystal of SiH2Ru2 relaxed with PBEsol from Alexandria. Energies are from meta-GGA SCAN.

Summary:
Final energy, eV per atom: -17.242

```
10
Lattice="5.5006 0.0000 0.0000 0.0000 5.5006 0.0000 0.0000 0.0000 2.9504" Properties=species:S:1:pos:R:3 pbc="T T T"
Si 0.0000 0.0000 0.0000
Si 2.7503 2.7503 0.0000
H 0.9447 1.8056 0.0000
H 1.8056 4.5558 0.0000
H 3.6950 0.9447 0.0000
H 4.5558 3.6950 0.0000
Ru 1.0525 3.8028 1.4752
Ru 1.6978 1.0525 1.4752
Ru 3.8028 4.4480 1.4752
Ru 4.4480 1.6978 1.4752
```

***

Record 3
Here is a crystal of BeSi2Ru relaxed with PBEsol from Alexandria. Energies are from meta-GGA SCAN.

Summary:
ΔE_f (raw), eV/atom: -0.21
Final energy, eV per atom: -15.012

```
4
Lattice="3.0898 0.0000 0.0000 0.0000 3.0898 0.0000 0.0000 0.0000 4.8990" Properties=species:S:1:pos:R:3 pbc="T T T"
Be 0.0000 0.0000 0.0000
Si 0.0000 0.0000 2.5385
Si 1.5449 1.5449 3.8402
Ru 1.5449 1.5449 1.3340
```

***

Record 4
Here is a crystal of ZnIrI3 relaxed with PBEsol from Alexandria. Energies are from meta-GGA SCAN.

Summary:
ΔE_f (raw), eV/atom: 1.13
Final energy, eV per atom: -37.840

```
5
Lattice="5.3005 0.0000 0.0000 0.0000 5.3005 0.0000 0.0000 0.0000 5.3005" Properties=species:S:1:pos:R:3 pbc="T T T"
Zn 0.0000 0.0000 0.0000
Ir 2.6503 2.6503 2.6503
I 0.0000 0.0000 2.6503
I 0.0000 2.6503 0.0000
I 2.6503 0.0000 0.0000
```

***

Q: The highest final energy belongs to which entry?
A: BeSi2Ru

***

Q: Which formula does entry 4 have?
A: ZnIrI3

***

Q: Which of these has the lowest final energy?
A: Ta2TcIr